(1)
A relaxed structure of InSiOs2. Source: Alexandria via LeMat-Bulk, functional PBE.

a b c (Å): 2.9295 2.9295 25.7375
angles (deg): 90.00 90.00 120.00
Space group R3m (No. 160, hexagonal axes)
Asymmetric unit:
In  0.0000  0.0000  0.0000 (multiplicity 3)
Si  0.0000  0.0000  0.7596 (multiplicity 3)
Os  0.0000  0.0000  0.2441 (multiplicity 3)
Os  0.0000  0.0000  0.4954 (multiplicity 3)

## Properties
- Spin magnetization: 0.00 μB per cell
- Formation energy from raw total energies: 0.35 eV per atom
- Excess energy over the best structure of this formula in the dataset: 0.2603 eV/atom
- DOS at the Fermi energy: 0.75 states/eV/atom

(2)
A relaxed structure of BaO2F. Source: Alexandria via LeMat-Bulk, functional PBE.

a b c (Å): 4.1755 4.1755 16.2112
angles (deg): 90.00 90.00 120.00
Space group R-3m (No. 166, hexagonal axes)
Asymmetric unit:
Ba  0.0000  0.0000  0.0000 (multiplicity 3)
O  0.0000  0.0000  0.3910 (multiplicity 6)
F  0.0000  0.0000  0.5000 (multiplicity 3)

## Properties
- Spin magnetization: 3.00 μB per cell
- Formation energy from raw total energies: -1.04 eV per atom
- Excess energy over the best structure of this formula in the dataset: 1.0221 eV/atom
- DOS at the Fermi energy: 0.93 states/eV/atom

(3)
A relaxed structure of LiSmTmSe3. Source: Alexandria via LeMat-Bulk, functional PBE.

a b c (Å): 8.341 3.978 8.769
angles (deg): 90.00 103.15 90.00
Space group P2_1/m (No. 11)
Asymmetric unit:
Li  0.086  0.250  0.085 (multiplicity 2)
Sm  0.190  0.250  0.726 (multiplicity 2)
Tm  0.333  0.750  0.337 (multiplicity 2)
Se  0.095  0.250  0.371 (multiplicity 2)
Se  0.226  0.750  0.000 (multiplicity 2)
Se  0.432  0.750  0.672 (multiplicity 2)

## Properties
- Spin magnetization: 0.00 μB per cell
- Formation energy from raw total energies: -1.64 eV per atom
- DOS at the Fermi energy: 0.42 states/eV/atom

(4)
A relaxed structure of Tl15HgBi4. Source: Alexandria via LeMat-Bulk, functional PBE.

a b c (Å): 5.014 5.014 25.000
angles (deg): 90.00 90.00 90.00
Space group P4/mmm (No. 123)
Asymmetric unit:
Tl  0.000  0.000  0.000 (multiplicity 1)
Tl  0.000  0.000  0.201 (multiplicity 2)
Tl  0.000  0.000  0.400 (multiplicity 2)
Tl  0.000  0.500  0.102 (multiplicity 4)
Tl  0.000  0.500  0.300 (multiplicity 4)
Tl  0.000  0.500  0.500 (multiplicity 2)
Hg  0.500  0.500  0.000 (multiplicity 1)
Bi  0.500  0.500  0.197 (multiplicity 2)
Bi  0.500  0.500  0.398 (multiplicity 2)

## Properties
- Spin magnetization: 0.00 μB per cell
- DFT total energy: -2.59 eV per atom
- DOS at the Fermi energy: 0.38 states/eV/atom

(5)
A relaxed structure of LaHoSi. Source: Alexandria via LeMat-Bulk, functional PBE.

a b c (Å): 3.733 5.374 8.341
angles (deg): 96.10 102.87 90.03
Space group P-1 (No. 2)
Asymmetric unit:
La  0.077  0.196  0.155 (multiplicity 2)
Ho  0.208  0.732  0.417 (multiplicity 2)
Si  0.438  0.339  0.875 (multiplicity 2)

## Properties
- Spin magnetization: 0.00 μB per cell
- Formation energy from raw total energies: -0.36 eV per atom
- Excess energy over the best structure of this formula in the dataset: 0.1448 eV/atom
- DOS at the Fermi energy: 1.01 states/eV/atom

(6)
A relaxed structure of PrHgBrO2. Source: Alexandria via LeMat-Bulk, functional PBE.

a b c (Å): 6.881 3.818 7.920
angles (deg): 90.00 96.18 90.00
Space group P2_1/m (No. 11)
Asymmetric unit:
Pr  0.120  0.250  0.204 (multiplicity 2)
Hg  0.379  0.250  0.839 (multiplicity 2)
Br  0.226  0.750  0.541 (multiplicity 2)
O  0.088  0.250  0.889 (multiplicity 2)
O  0.324  0.750  0.157 (multiplicity 2)

## Properties
- Spin magnetization: 0.00 μB per cell
- Formation energy from raw total energies: -1.81 eV per atom
- DOS at the Fermi energy: 0.00 states/eV/atom

(7)
A relaxed structure of CsZnCdS2. Source: Alexandria via LeMat-Bulk, functional PBE.

a b c (Å): 6.339 14.656 6.575
angles (deg): 90.00 90.00 90.00
Space group Cmme (No. 67)
Asymmetric unit:
Cs  0.000  0.250  0.250 (multiplicity 4)
Zn  0.000  0.000  0.000 (multiplicity 4)
Cd  0.250  0.000  0.500 (multiplicity 4)
S  0.000  0.105  0.711 (multiplicity 8)

## Properties
- Spin magnetization: 0.00 μB per cell
- Formation energy from raw total energies: -0.52 eV per atom
- DOS at the Fermi energy: 0.68 states/eV/atom

(8)
A relaxed structure of MoHS2N. Source: Alexandria via LeMat-Bulk, functional PBE.

a b c (Å): 3.342 3.342 4.882
angles (deg): 90.00 90.00 90.00
Space group P4/mmm (No. 123)
Asymmetric unit:
Mo  0.000  0.000  0.000 (multiplicity 1)
H  0.500  0.500  0.500 (multiplicity 1)
S  0.000  0.500  0.500 (multiplicity 2)
N  0.500  0.500  0.000 (multiplicity 1)

## Properties
- Spin magnetization: 0.00 μB per cell
- Excess energy over the best structure of this formula in the dataset: 0.5115 eV/atom
- DOS at the Fermi energy: 0.43 states/eV/atom